Entry 1:
The following is a GGA-PBEsol calculation of an optimized crystal structure of Zn5Cu3, from the Alexandria database.

a = 7.1153 Å, b = 7.1153 Å, c = 4.7944 Å
α = 90.00°, β = 90.00°, γ = 120.00°
Space group P6_3/mcm (No. 193)
Inequivalent atoms, fractional coordinates:
Zn1 0.0000 0.2307 0.2500
Zn2 0.3333 0.6667 0.0000
Cu1 0.0000 0.4010 0.7500

Calculated values
The value obtained for the polymorph energy (0 for the lowest one) is 0.067 eV per atom. The value obtained for the energy of formation is -10 meV/atom.



Entry 2:
The following is a GGA-PBEsol calculation of an optimized crystal structure of InH8C4NO10, from the Alexandria database.

a = 8.9434 Å, b = 8.9434 Å, c = 11.5358 Å
α = 90.00°, β = 90.00°, γ = 120.00°
Space group P6_222 (No. 180)
Inequivalent atoms, fractional coordinates:
In1 0.0000 0.5000 0.1667
H1 0.0251 0.1047 0.7802
H2 0.1015 0.3563 0.6797
C1 0.2131 0.4262 0.0000
C2 0.3127 0.6255 0.0000
N1 0.0000 0.0000 0.1667
O1 0.0000 0.2402 0.6667
O2 0.0795 0.3493 0.0618
O3 0.2460 0.5478 0.2767

Calculated values
The uncorrected energy is -6.4379 eV per atom.



Entry 3:
The following is a GGA-PBEsol calculation of an optimized crystal structure of SrBe13, from the Alexandria database.

a = 10.350 Å, b = 10.350 Å, c = 10.350 Å
α = 90.00°, β = 90.00°, γ = 90.00°
Space group Fm-3c (No. 226)
Inequivalent atoms, fractional coordinates:
Sr1 0.250 0.250 0.250
Be1 0.000 0.000 0.000
Be2 0.000 0.110 0.176

Calculated values
The value obtained for the energy of formation is -52 meV/atom.



Entry 4:
The following is a GGA-PBEsol calculation of an optimized crystal structure of Sr2TlH2, from the Alexandria database.

a = 4.021 Å, b = 4.021 Å, c = 13.761 Å
α = 90.00°, β = 90.00°, γ = 90.00°
Space group I4/mmm (No. 139)
Inequivalent atoms, fractional coordinates:
Sr1 0.000 0.000 0.153
Tl1 0.000 0.000 0.500
H1 0.000 0.500 0.250

Calculated values
The uncorrected energy is -3.0485 eV per atom.



Entry 5:
The following is a GGA-PBEsol calculation of an optimized crystal structure of KLiMn2, from the Alexandria database.

a = 2.394 Å, b = 2.394 Å, c = 10.105 Å
α = 90.00°, β = 90.00°, γ = 90.00°
Space group P4/mmm (No. 123)
Inequivalent atoms, fractional coordinates:
K1 0.000 0.000 0.000
Li1 0.000 0.000 0.500
Mn1 0.500 0.500 0.286

Calculated values
The value obtained for the polymorph energy (0 for the lowest one) is 0.000 eV per atom. The value obtained for the energy of formation is 1248 meV/atom.



Entry 6:
The following is a GGA-PBEsol calculation of an optimized crystal structure of ScCrOs, from the Alexandria database.

a = 4.876 Å, b = 5.310 Å, c = 7.040 Å
α = 90.00°, β = 90.00°, γ = 90.00°
Space group Imma (No. 74)
Inequivalent atoms, fractional coordinates:
Sc1 0.000 0.250 0.125
Cr1 0.250 0.250 0.750
Os1 0.000 0.000 0.500

Calculated values
The value obtained for the polymorph energy (0 for the lowest one) is 0.000 eV per atom. The value obtained for the energy of formation is -259 meV/atom.



Entry 7:
The following is a GGA-PBEsol calculation of an optimized crystal structure of NbPCCl2, from the Alexandria database.

a = 4.717 Å, b = 4.717 Å, c = 4.931 Å
α = 90.00°, β = 90.00°, γ = 90.00°
Space group P4/mmm (No. 123)
Inequivalent atoms, fractional coordinates:
Nb1 0.000 0.000 0.000
P1 0.000 0.000 0.500
C1 0.500 0.500 0.500
Cl1 0.000 0.500 0.000

Calculated values
The calculation puts the formation energy (no corrections) at 5.84 eV/f.u.



Entry 8:
The following is a GGA-PBEsol calculation of an optimized crystal structure of Ca2PCl, from the Alexandria database.

a = 4.099 Å, b = 4.099 Å, c = 5.603 Å
α = 90.00°, β = 90.00°, γ = 90.00°
Space group P4/mmm (No. 123)
Inequivalent atoms, fractional coordinates:
Ca1 0.000 0.000 0.000
Ca2 0.500 0.500 0.500
P1 0.000 0.000 0.500
Cl1 0.500 0.500 0.000

Calculated values
The calculation puts the formation energy (no corrections) at -6.48 eV/f.u.



Entry 9:
The following is a GGA-PBEsol calculation of an optimized crystal structure of TcOs2, from the Alexandria database.

a = 8.192 Å, b = 4.727 Å, c = 4.314 Å
α = 90.00°, β = 90.00°, γ = 90.00°
Space group Cmcm (No. 63)
Inequivalent atoms, fractional coordinates:
Tc1 0.000 0.167 0.250
Os1 0.167 0.333 0.750

Calculated values
The value obtained for the polymorph energy (0 for the lowest one) is 0.000 eV per atom. The value obtained for the energy of formation is -79 meV/atom.



Entry 10:
The following is a GGA-PBEsol calculation of an optimized crystal structure of TiH2Pt, from the Alexandria database.

a = 5.294 Å, b = 5.294 Å, c = 5.294 Å
α = 90.00°, β = 90.00°, γ = 90.00°
Space group Fm-3m (No. 225)
Inequivalent atoms, fractional coordinates:
Ti1 0.000 0.000 0.000
H1 0.250 0.250 0.250
Pt1 0.000 0.000 0.500

Calculated values
The uncorrected energy is -5.4749 eV per atom.



Entry 11:
The following is a GGA-PBEsol calculation of an optimized crystal structure of DySbRh2, from the Alexandria database.

a = 6.555 Å, b = 6.555 Å, c = 6.555 Å
α = 90.00°, β = 90.00°, γ = 90.00°
Space group Fm-3m (No. 225)
Inequivalent atoms, fractional coordinates:
Dy1 0.000 0.000 0.000
Sb1 0.000 0.000 0.500
Rh1 0.250 0.250 0.250

Calculated values
The calculation puts the formation energy (no corrections) at -2.89 eV/f.u.



Entry 12:
The following is a GGA-PBEsol calculation of an optimized crystal structure of MgSiAs2, from the Alexandria database.

a = 3.385 Å, b = 3.717 Å, c = 12.083 Å
α = 90.00°, β = 90.00°, γ = 90.00°
Space group Imm2 (No. 44)
Inequivalent atoms, fractional coordinates:
Mg1 0.000 0.000 0.000
Si1 0.000 0.500 0.748
As1 0.000 0.000 0.402
As2 0.000 0.500 0.173

Calculated values
The value obtained for the polymorph energy (0 for the lowest one) is 0.290 eV per atom. The calculation puts the formation energy (no corrections) at 0.01 eV/f.u.



Entry 13:
The following is a GGA-PBEsol calculation of an optimized crystal structure of SrSBr2, from the Alexandria database.

a = 5.0915 Å, b = 5.0915 Å, c = 20.7458 Å
α = 90.00°, β = 90.00°, γ = 120.00°
Space group R-3m (No. 166, hexagonal axes)
Inequivalent atoms, fractional coordinates:
Sr1 0.0000 0.0000 0.0000
S1 0.0000 0.0000 0.5000
Br1 0.0000 0.0000 0.3812

Calculated values
The value obtained for the polymorph energy (0 for the lowest one) is 0.009 eV per atom. The calculation puts the formation energy (no corrections) at -3.53 eV/f.u.



Entry 14:
The following is a GGA-PBEsol calculation of an optimized crystal structure of Nd2NbInO7, from the Alexandria database.

a = 7.381 Å, b = 7.620 Å, c = 10.627 Å
α = 90.00°, β = 90.00°, γ = 90.00°
Space group Imma (No. 74)
Inequivalent atoms, fractional coordinates:
Nd1 0.000 0.000 0.000
Nd2 0.250 0.250 0.250
Nb1 0.000 0.000 0.500
In1 0.250 0.250 0.750
O1 0.000 0.250 0.126
O2 0.000 0.250 0.437
O3 0.000 0.250 0.850
O4 0.201 0.027 0.624

Calculated values
The calculation puts the formation energy (no corrections) at -30.70 eV/f.u.



Entry 15:
The following is a GGA-PBEsol calculation of an optimized crystal structure of MnMo2Au, from the Alexandria database.

a = 3.233 Å, b = 4.274 Å, c = 8.602 Å
α = 90.00°, β = 90.00°, γ = 90.00°
Space group Cmm2 (No. 35)
Inequivalent atoms, fractional coordinates:
Mn1 0.000 0.000 0.000
Mo1 0.000 0.000 0.519
Mo2 0.000 0.500 0.773
Au1 0.000 0.500 0.249

Calculated values
The value obtained for the polymorph energy (0 for the lowest one) is 0.000 eV per atom. The value obtained for the energy of formation is 199 meV/atom.



Entry 16:
The following is a GGA-PBEsol calculation of an optimized crystal structure of ZnInAg2, from the Alexandria database.

a = 3.325 Å, b = 3.648 Å, c = 5.773 Å
α = 90.00°, β = 90.00°, γ = 90.00°
Space group Pmm2 (No. 25)
Inequivalent atoms, fractional coordinates:
Zn1 0.000 0.000 0.000
In1 0.500 0.500 0.721
Ag1 0.000 0.000 0.467
Ag2 0.500 0.500 0.212

Calculated values
The value obtained for the energy of formation is -18 meV/atom.



Entry 17:
The following is a GGA-PBEsol calculation of an optimized crystal structure of Zr2CrRu, from the Alexandria database.

a = 6.349 Å, b = 6.349 Å, c = 6.349 Å
α = 90.00°, β = 90.00°, γ = 90.00°
Space group F-43m (No. 216)
Inequivalent atoms, fractional coordinates:
Zr1 0.000 0.000 0.000
Zr2 0.250 0.250 0.250
Cr1 0.000 0.000 0.500
Ru1 0.250 0.250 0.750

Calculated values
The value obtained for the energy of formation is 60 meV/atom.



Entry 18:
The following is a GGA-PBEsol calculation of an optimized crystal structure of Er2Ga9Co3, from the Alexandria database.

a = 12.491 Å, b = 7.250 Å, c = 9.225 Å
α = 90.00°, β = 90.00°, γ = 90.00°
Space group Cmcm (No. 63)
Inequivalent atoms, fractional coordinates:
Er1 0.164 0.167 0.250
Ga1 0.000 0.121 0.750
Ga2 0.000 0.333 0.059
Ga3 0.107 0.444 0.750
Ga4 0.167 0.167 0.572
Co1 0.000 0.000 0.000
Co2 0.171 0.500 0.000

Calculated values
The value obtained for the energy of formation is -551 meV/atom.



Entry 19:
The following is a GGA-PBEsol calculation of an optimized crystal structure of ReTe2Br, from the Alexandria database.

a = 6.921 Å, b = 6.921 Å, c = 6.921 Å
α = 90.00°, β = 90.00°, γ = 90.00°
Space group Fm-3m (No. 225)
Inequivalent atoms, fractional coordinates:
Re1 0.000 0.000 0.000
Te1 0.250 0.250 0.250
Br1 0.000 0.000 0.500

Calculated values
The calculation puts the formation energy (no corrections) at 3.11 eV/f.u.



Entry 20:
The following is a GGA-PBEsol calculation of an optimized crystal structure of Mn2ZnOs, from the Alexandria database.

a = 2.6100 Å, b = 2.6100 Å, c = 25.1063 Å
α = 90.00°, β = 90.00°, γ = 120.00°
Space group R-3m (No. 166, hexagonal axes)
Inequivalent atoms, fractional coordinates:
Mn1 0.0000 0.0000 0.2489
Zn1 0.0000 0.0000 0.0000
Os1 0.0000 0.0000 0.5000

Calculated values
The value obtained for the energy of formation is 182 meV/atom.